Record 1
PdF after structural relaxation, computed with PBE.

Calculated values
The energy is -67.7 eV per cell. Its symmetry is I4/mmm. For the polymorph energy (0 for the lowest one), the calculation gives 0.05 eV/f.u. The calculation puts the formation energy from raw total energies at -0.700 eV per atom.

abc: 9.4133 9.4133 2.7769
angles: 90.00 90.00 90.00
Fractional positions:
Pd 0.8426 0.8426 0.5000
Pd 0.6574 0.3426 0.0000
Pd 0.6574 0.6574 0.0000
Pd 0.1574 0.8426 0.5000
Pd 0.8426 0.1574 0.5000
Pd 0.3426 0.3426 0.0000
Pd 0.3426 0.6574 0.0000
Pd 0.1574 0.1574 0.5000
F 0.3007 0.0000 0.5000
F 0.0000 0.3007 0.5000
F 0.5000 0.8007 0.0000
F 0.1993 0.5000 0.0000
F 0.8007 0.5000 0.0000
F 0.5000 0.1993 0.0000
F 0.6993 0.0000 0.5000
F 0.0000 0.6993 0.5000

Record 2
AcSm6Dy2Y3 after structural relaxation, computed with PBE.

Calculated values
The energy is -60.7 eV per cell. The energy of formation from the pure elements is 27.3 meV per atom. Its symmetry is C2/m.

abc: 6.2913 6.2913 12.0313
angles: 95.00 95.00 119.99
Fractional positions:
Sm 0.2519 0.2519 0.7461
Sm 0.0845 0.4209 0.2536
Sm 0.4209 0.0845 0.2536
Sm 0.9155 0.5791 0.7464
Sm 0.5791 0.9155 0.7464
Sm 0.7481 0.7481 0.2539
Dy 0.3334 0.6666 0.0000
Dy 0.6666 0.3334 0.0000
Y 0.5000 0.5000 0.5000
Y 0.8328 0.1672 0.5000
Y 0.1672 0.8328 0.5000
Ac 0.0000 0.0000 0.0000

Record 3
MgCoW2 after structural relaxation, computed with PBE.

Calculated values
The energy is -33.3 eV per cell. The energy of formation from the pure elements is 326.5 meV per atom. Its symmetry is Cmmm.

abc: 2.7119 2.7119 8.3695
angles: 90.00 90.00 98.82
Fractional positions:
Co 0.5000 0.5000 0.2500
W 0.0000 0.0000 0.4697
W 0.0000 0.0000 0.0303
Mg 0.5000 0.5000 0.7500

Record 4
NaMgH2SO5 after structural relaxation, computed with PBE.

Calculated values
The energy is -103.8 eV per cell. Its symmetry is P2_1/m.

abc: 5.9784 6.3601 8.0476
angles: 69.05 90.00 90.00
Fractional positions:
H 0.6231 0.5786 0.1271
H 0.1231 0.4214 0.8729
H 0.8769 0.5786 0.1271
H 0.3769 0.4214 0.8729
O 0.2500 0.1588 0.1401
O 0.7500 0.2031 0.9095
O 0.9553 0.1640 0.6598
O 0.5447 0.1640 0.6598
O 0.0447 0.8360 0.3402
O 0.7500 0.4888 0.1932
O 0.2500 0.7969 0.0905
O 0.4553 0.8360 0.3402
O 0.7500 0.8412 0.8599
O 0.2500 0.5112 0.8068
Na 0.2500 0.8966 0.7842
Na 0.7500 0.1034 0.2158
Mg 0.5000 0.5000 0.5000
Mg 0.0000 0.5000 0.5000
S 0.2500 0.9124 0.2209
S 0.7500 0.0876 0.7791

Record 5
Sm3TlNi2 after structural relaxation, computed with PBE.

Calculated values
The energy is -60.0 eV per cell. The energy of formation from the pure elements is -316.6 meV per atom. Its symmetry is Pmc2_1.

abc: 4.3360 7.2412 9.3323
angles: 90.00 90.00 90.00
Fractional positions:
Ni 0.5000 0.0426 0.4481
Ni 0.5000 0.5426 0.5519
Ni 0.0000 0.9764 0.2874
Ni 0.0000 0.4764 0.7126
Sm 0.0000 0.3264 0.4422
Sm 0.5000 0.2141 0.7485
Sm 0.0000 0.8264 0.5578
Sm 0.5000 0.1846 0.1624
Sm 0.5000 0.7141 0.2515
Sm 0.5000 0.6846 0.8376
Tl 0.0000 0.9572 0.9779
Tl 0.0000 0.4572 0.0221